[1]
Entry from the Alexandria database: NaLi2Sb2 after structural relaxation (GGA-PBE).

Geometry as POSCAR:
```
NaLi2Sb2
1.0
8.546 0.000 0.000
0.000 8.546 0.000
0.000 0.000 3.093
Li Sb Na
4 4 2
Cartesian
5.290 1.017 0.000
3.257 7.530 0.000
1.017 3.257 0.000
7.530 5.290 0.000
1.505 5.778 1.546
2.768 1.505 1.546
5.778 7.041 1.546
7.041 2.768 1.546
4.273 4.273 0.000
0.000 0.000 0.000
```

- E_form (uncorrected): -0.44 eV/atom
- Total DFT energy (no corrections): -31.230 eV for the cell shown
- Symmetry: P4/mbm
- Excess energy over the best structure of this formula in the dataset: 0 meV/atom


[2]
Entry from the Alexandria database: Cs3Cd5Br12 after structural relaxation (GGA-PBE).

Geometry as POSCAR:
```
Cs3Cd5Br12
1.0
-10.811 -7.878 -8.684
0.762 -6.376 14.598
-4.228 15.338 1.112
Cd Br Cs
20 48 12
Cartesian
-7.129 7.752 -0.598
-2.365 -0.015 10.280
-5.024 -7.127 2.957
-9.884 3.714 6.494
-11.712 6.715 -3.715
-1.733 4.481 7.855
-12.154 0.625 2.360
-11.911 1.099 -3.254
-2.122 0.459 4.667
-9.217 -4.142 3.028
-4.392 -2.631 0.532
-2.114 7.669 0.556
-5.405 -3.939 -4.342
-7.147 -6.669 7.624
-2.564 -5.632 10.742
-7.138 0.542 3.513
0.000 0.000 0.000
-5.059 5.225 3.999
-7.519 3.730 -3.786
0.381 -3.188 7.299
-9.447 -7.587 6.574
-12.664 -0.062 4.910
-8.215 -12.020 6.111
-6.451 7.507 4.299
-6.889 2.979 11.905
-9.511 0.658 1.857
-2.952 5.564 2.361
-10.984 -8.792 0.321
-8.422 4.702 8.525
-0.792 -4.919 12.636
-9.996 -3.445 0.549
-6.911 5.179 -1.353
-6.061 13.104 0.915
-8.564 -0.535 9.998
-5.150 -6.719 5.822
-7.387 -1.895 -4.878
-1.943 -4.556 8.355
-5.712 1.618 -2.972
-7.477 -5.961 -4.434
-1.258 -2.030 5.210
-2.809 2.587 9.765
-13.484 6.003 -5.609
-4.280 4.529 6.477
-5.590 -0.324 1.223
-4.829 8.671 0.452
-4.581 -1.298 9.457
-7.825 -6.424 2.727
-11.467 -1.504 -2.738
-7.723 -2.218 4.170
-11.324 -4.481 4.666
-6.799 7.045 11.461
-12.380 1.520 -5.869
-1.896 -0.437 12.896
-2.610 6.668 9.540
-9.695 2.382 -2.430
-7.366 -4.096 8.380
-8.686 1.407 5.803
-9.126 7.803 1.205
-11.666 -5.584 -2.513
-13.019 3.114 1.816
-5.854 -3.619 -1.499
-1.612 1.145 2.116
-3.292 9.875 6.706
-4.290 -4.348 2.601
-12.333 5.639 -1.329
-6.553 3.301 2.857
-4.765 0.425 5.170
-9.986 5.431 4.426
-9.642 4.188 0.881
-10.083 -1.902 6.956
-3.855 4.939 12.522
-4.635 -3.105 6.145
-8.351 -6.382 -0.900
-10.421 -3.856 -5.496
-8.152 -0.766 -1.361
-5.925 7.466 7.926
-4.193 2.985 0.071
-4.860 10.842 3.537
-6.125 1.850 8.387
-9.416 -9.758 3.489
```

- E_form (uncorrected): -1.09 eV/atom
- Total DFT energy (no corrections): -196.285 eV for the cell shown
- Symmetry: Ia-3d


[3]
Entry from the Alexandria database: UGeTe3 after structural relaxation (GGA-PBE).

Geometry as POSCAR:
```
UGeTe3
1.0
7.592 -0.894 0.332
-4.505 6.176 -0.332
-3.157 -1.698 6.763
Te Ge U
6 2 2
Cartesian
-4.273 4.494 1.611
-1.691 1.214 1.807
1.777 0.959 1.946
-5.775 3.599 4.624
-3.193 0.319 4.819
-1.652 2.960 4.817
-2.155 3.255 -0.166
3.894 -0.280 0.166
0.077 3.724 2.171
0.049 0.196 4.592
```

- E_form (uncorrected): -0.10 eV/atom
- Total DFT energy (no corrections): -51.629 eV for the cell shown
- Symmetry: Imma


[4]
Entry from the Alexandria database: Sr2Ge2I after structural relaxation (GGA-PBE).

Geometry as POSCAR:
```
Sr2Ge2I
1.0
8.806 0.000 0.000
0.000 8.806 0.000
0.000 0.000 4.494
Sr I Ge
4 2 4
Cartesian
1.585 2.818 0.000
5.988 1.585 0.000
7.220 5.988 0.000
2.818 7.220 0.000
4.403 4.403 0.000
0.000 0.000 0.000
7.972 3.569 2.247
5.237 7.972 2.247
3.569 0.834 2.247
0.834 5.237 2.247
```

- E_form (uncorrected): -0.73 eV/atom
- Total DFT energy (no corrections): -35.569 eV for the cell shown
- Symmetry: P4/mbm


[5]
Entry from the Alexandria database: YCd2Sb after structural relaxation (GGA-PBE).

Geometry as POSCAR:
```
YCd2Sb
1.0
-7.790 -6.100 -3.301
-6.025 -5.746 -6.282
-5.088 -8.187 -3.983
Cd Sb Y
2 1 1
Cartesian
-9.474 -10.041 -6.799
-18.880 -20.009 -13.550
-4.726 -5.008 -3.392
-14.177 -15.025 -10.175
```

- E_form (uncorrected): -0.04 eV/atom
- Total DFT energy (no corrections): -12.566 eV for the cell shown
- Symmetry: R-3m


[6]
Entry from the Alexandria database: Co3BiAu after structural relaxation (GGA-PBE).

Geometry as POSCAR:
```
Co3BiAu
1.0
4.781 0.000 0.000
0.000 4.781 0.000
0.000 0.000 4.781
Co Bi Au
3 1 1
Cartesian
0.000 2.390 0.000
2.390 0.000 0.000
0.000 0.000 2.390
0.000 0.000 0.000
2.390 2.390 2.390
```

- Total DFT energy (no corrections): -20.767 eV for the cell shown
- Symmetry: Pm-3m
- E_form: 1.542 eV/atom
- Excess energy over the best structure of this formula in the dataset: 335 meV/atom